The following is a PBE-GGA calculation of a relaxed Tl2H2Au crystal, from Alexandria via LeMat-Bulk.

Properties
Mass density (g cm⁻³): 11.680
Relative energy among the computed polymorphs (meV/atom): 376.2
Symmetry: I4/mmm (139)

a = 3.6214 Å, b = 3.6214 Å, c = 7.0684 Å
α = 75.16°, β = 75.16°, γ = 90.00°
With the nearest neighbours (Å) after each atom.
Fractional positions:
1 H 0.7500 0.2500 0.5000  4 Tl 2.30, 4 H 2.56
2 H 0.2500 0.7500 0.5000  4 Tl 2.30, 4 H 2.56
3 Au 0.0000 0.0000 0.0000  8 Tl 3.17
4 Tl 0.3582 0.3582 0.2836  4 H 2.30
5 Tl 0.6418 0.6418 0.7164  4 H 2.30